Entry 1:
# Mg4NiAu

Mg4NiAu after structural relaxation (GGA-PBEsol, Alexandria).

Summary:
* M_tot: 0.00 μB per formula unit
* E: -61.097 eV per cell

Cell lengths 7.570, 7.570, 7.570 Å; angles 90.00, 90.00, 90.00 degrees
Space group F-43m (No. 216)
One atom of each set of equivalent atoms:
Mg (0.125, 0.125, 0.125) (multiplicity 16)
Ni (0.000, 0.000, 0.500) (multiplicity 4)
Au (0.250, 0.250, 0.750) (multiplicity 4)

=====

Entry 2:
# MgNi2Au

MgNi2Au after structural relaxation (GGA-PBEsol, Alexandria).

Summary:
* M_tot: 0.00 μB per formula unit
* E: -52.511 eV per cell

Cell lengths 2.7456, 2.7456, 25.1758 Å; angles 90.00, 90.00, 120.00 degrees
Space group R-3m (No. 166, hexagonal axes)
One atom of each set of equivalent atoms:
Mg (0.0000, 0.0000, 0.0000) (multiplicity 3)
Ni (0.0000, 0.0000, 0.2518) (multiplicity 6)
Au (0.0000, 0.0000, 0.5000) (multiplicity 3)

=====

Entry 3:
# MgNi2Au

MgNi2Au after structural relaxation (GGA-PBEsol, Alexandria).

Summary:
* M_tot: 0.67 μB per formula unit
* E: -18.374 eV per cell

Cell lengths 2.995, 2.995, 6.061 Å; angles 90.00, 90.00, 90.00 degrees
Space group P4mm (No. 99)
One atom of each set of equivalent atoms:
Mg (0.000, 0.000, 0.000) (multiplicity 1)
Ni (0.000, 0.000, 0.556) (multiplicity 1)
Ni (0.500, 0.500, 0.740) (multiplicity 1)
Au (0.500, 0.500, 0.295) (multiplicity 1)